# LaAlW, optimized geometry, DFT PBE
# Formation energy from the elements ... 0.506 eV/atom
# E above lowest polymorph ... 193 meV per atom
data_LaAlW
_space_group_name_H-M_alt 'P 1'
_space_group_IT_number 1
_space_group_name_Hall 'P 1'
_cell_length_a 4.942
_cell_length_b 4.942
_cell_length_c 3.067
_cell_angle_alpha 90.00
_cell_angle_beta 90.00
_cell_angle_gamma 120.00
loop_
_atom_site_label
_atom_site_type_symbol
_atom_site_fract_x
_atom_site_fract_y
_atom_site_fract_z
La1 La 0.000 0.000 0.000
Al1 Al 0.333 0.667 0.500
W1 W 0.667 0.333 0.500

# LaAlW2, optimized geometry, DFT PBE
# Formation energy from the elements ... 0.548 eV/atom
data_LaAlW2
_space_group_name_H-M_alt 'P 1'
_space_group_IT_number 1
_space_group_name_Hall 'P 1'
_cell_length_a 4.797
_cell_length_b 4.797
_cell_length_c 4.797
_cell_angle_alpha 119.89
_cell_angle_beta 119.89
_cell_angle_gamma 90.19
loop_
_atom_site_label
_atom_site_type_symbol
_atom_site_fract_x
_atom_site_fract_y
_atom_site_fract_z
La1 La 0.000 0.000 0.000
Al1 Al 0.250 0.750 0.500
W1 W 0.500 0.500 0.000
W2 W 0.750 0.250 0.500

# LaAlW2, optimized geometry, DFT PBE
# Formation energy from the elements ... 0.791 eV/atom
data_LaAlW2
_space_group_name_H-M_alt 'P 1'
_space_group_IT_number 1
_space_group_name_Hall 'P 1'
_cell_length_a 5.287
_cell_length_b 5.287
_cell_length_c 5.287
_cell_angle_alpha 133.02
_cell_angle_beta 133.02
_cell_angle_gamma 68.63
loop_
_atom_site_label
_atom_site_type_symbol
_atom_site_fract_x
_atom_site_fract_y
_atom_site_fract_z
La1 La 0.000 0.000 0.000
Al1 Al 0.500 0.500 0.000
W1 W 0.250 0.750 0.500
W2 W 0.750 0.250 0.500

# LaAlW, optimized geometry, DFT PBE
# Formation energy from the elements ... 0.464 eV/atom
# E above lowest polymorph ... 151 meV per atom
data_LaAlW
_space_group_name_H-M_alt 'P 1'
_space_group_IT_number 1
_space_group_name_Hall 'P 1'
_cell_length_a 2.974
_cell_length_b 2.974
_cell_length_c 8.047
_cell_angle_alpha 90.00
_cell_angle_beta 90.00
_cell_angle_gamma 120.00
loop_
_atom_site_label
_atom_site_type_symbol
_atom_site_fract_x
_atom_site_fract_y
_atom_site_fract_z
La1 La 0.000 0.000 0.000
Al1 Al 0.333 0.667 0.633
W1 W 0.667 0.333 0.361

# LaAlW2, optimized geometry, DFT PBE
# Formation energy from the elements ... 0.719 eV/atom
data_LaAlW2
_space_group_name_H-M_alt 'P 1'
_space_group_IT_number 1
_space_group_name_Hall 'P 1'
_cell_length_a 3.423
_cell_length_b 4.710
_cell_length_c 4.839
_cell_angle_alpha 90.00
_cell_angle_beta 90.00
_cell_angle_gamma 90.00
loop_
_atom_site_label
_atom_site_type_symbol
_atom_site_fract_x
_atom_site_fract_y
_atom_site_fract_z
La1 La 0.000 0.000 0.000
Al1 Al 0.500 0.000 0.500
W1 W 0.000 0.500 0.500
W2 W 0.500 0.500 0.000

# LaAlW, optimized geometry, DFT PBE
# Formation energy from the elements ... 0.729 eV/atom
# E above lowest polymorph ... 415 meV per atom
data_LaAlW
_space_group_name_H-M_alt 'P 1'
_space_group_IT_number 1
_space_group_name_Hall 'P 1'
_cell_length_a 4.607
_cell_length_b 4.607
_cell_length_c 4.607
_cell_angle_alpha 60.00
_cell_angle_beta 60.00
_cell_angle_gamma 60.00
loop_
_atom_site_label
_atom_site_type_symbol
_atom_site_fract_x
_atom_site_fract_y
_atom_site_fract_z
La1 La 0.000 0.000 0.000
Al1 Al 0.500 0.500 0.500
W1 W 0.250 0.250 0.250

# LaAlW4, optimized geometry, DFT PBE
# Formation energy from the elements ... 0.460 eV/atom
data_LaAlW4
_space_group_name_H-M_alt 'P 1'
_space_group_IT_number 1
_space_group_name_Hall 'P 1'
_cell_length_a 5.483
_cell_length_b 5.483
_cell_length_c 5.483
_cell_angle_alpha 60.00
_cell_angle_beta 60.00
_cell_angle_gamma 60.00
loop_
_atom_site_label
_atom_site_type_symbol
_atom_site_fract_x
_atom_site_fract_y
_atom_site_fract_z
La1 La 0.000 0.000 0.000
Al1 Al 0.250 0.250 0.250
W1 W 0.125 0.625 0.625
W2 W 0.625 0.125 0.625
W3 W 0.625 0.625 0.125
W4 W 0.625 0.625 0.625

# La2AlW2, optimized geometry, DFT PBE
# Formation energy from the elements ... 1.162 eV/atom
# E above lowest polymorph ... 707 meV per atom
data_La2AlW2
_space_group_name_H-M_alt 'P 1'
_space_group_IT_number 1
_space_group_name_Hall 'P 1'
_cell_length_a 9.098
_cell_length_b 9.098
_cell_length_c 2.911
_cell_angle_alpha 90.00
_cell_angle_beta 90.00
_cell_angle_gamma 90.00
loop_
_atom_site_label
_atom_site_type_symbol
_atom_site_fract_x
_atom_site_fract_y
_atom_site_fract_z
La1 La 0.137 0.363 0.000
La2 La 0.363 0.863 0.000
La3 La 0.637 0.137 0.000
La4 La 0.863 0.637 0.000
Al1 Al 0.000 0.000 0.000
Al2 Al 0.500 0.500 0.000
W1 W 0.169 0.669 0.500
W2 W 0.331 0.169 0.500
W3 W 0.669 0.831 0.500
W4 W 0.831 0.331 0.500